Entry from Alexandria via LeMat-Bulk: a relaxed structure of Sm6Ho5In (GGA-PBE).

## Properties
Crystal system   orthorhombic

abc: 4.9985 9.9594 15.1542
angles: 90.00 90.00 90.00
Closest atoms and distances in Å follow each position.
Space group Immm (No. 71)
Asymmetric unit:
Sm (0.0000, 0.2452, 0.0000) [4 per cell]  2 In 3.49, 6 Ho 3.52-3.56, 4 Sm 3.54
Sm (0.0000, 0.2538, 0.3342) [8 per cell]  7 Ho 3.50-3.58, 1 In 3.51, 4 Sm 3.54-3.57
Ho (0.0000, 0.0000, 0.1669) [4 per cell]  8 Sm 3.50-3.58, 2 In 3.56, 2 Ho 3.58
Ho (0.0000, 0.0000, 0.5000) [2 per cell]  4 Ho 3.53, 8 Sm 3.56
Ho (0.0000, 0.5000, 0.1644) [4 per cell]  4 Ho 3.53-3.58, 8 Sm 3.55-3.56
In (0.0000, 0.5000, 0.5000) [2 per cell]  8 Sm 3.49-3.51, 4 Ho 3.56

---

Entry from Alexandria via LeMat-Bulk: a relaxed structure of Dy2ThMg3 (GGA-PBE).

## Properties
Crystal system   tetragonal

abc: 3.7940 3.7940 11.4661
angles: 90.00 90.00 90.00
Closest atoms and distances in Å follow each position.
Space group P4/mmm (No. 123)
Asymmetric unit:
Dy (0.0000, 0.0000, 0.1656) [2 per cell]  8 Mg 3.25-3.29
Th (0.0000, 0.0000, 0.5000) [1 per cell]  8 Mg 3.35
Mg (0.5000, 0.5000, 0.0000) [1 per cell]  8 Dy 3.29
Mg (0.5000, 0.5000, 0.3252) [2 per cell]  4 Dy 3.25, 4 Th 3.35

---

Looking at DFT total energy for the records above, in order, we have -4.553 -3.590 eV/atom.
Looking at Fermi-level density of states for the records above, in order, we have 32.0 7.4 states/eV/cell.